(1)
Crystalline Tc2PtRh at its relaxed geometry, computed with PBEsol.

Computed properties:
polymorph energy (0 for the lowest one) = 235 kJ/mol of formula units
E_form = 418 meV/atom
calculated density = 14.245 g/cm³

abc: 6.1299 6.1299 6.1299
angles: 90.00 90.00 90.00
Space group Fm-3m (No. 225)
Symmetry-distinct sites (fractional):
Tc: 0.2500 0.2500 0.2500 (multiplicity 8)
Pt: 0.0000 0.0000 0.0000 (multiplicity 4)
Rh: 0.0000 0.0000 0.5000 (multiplicity 4)

(2)
Crystalline Tc2PtRh at its relaxed geometry, computed with PBEsol.

Computed properties:
polymorph energy (0 for the lowest one) = 0 kJ/mol of formula units
E_form = -191 meV/atom
calculated density = 14.733 g/cm³

abc: 2.6923 4.3321 4.7739
angles: 90.00 90.00 90.00
Space group Pmm2 (No. 25)
Symmetry-distinct sites (fractional):
Tc: 0.0000 0.0000 0.0000 (multiplicity 1)
Tc: 0.0000 0.5000 0.3160 (multiplicity 1)
Pt: 0.5000 0.5000 0.8166 (multiplicity 1)
Rh: 0.5000 0.0000 0.4882 (multiplicity 1)

(3)
Crystalline Te3PtRh at its relaxed geometry, computed with PBEsol.

Computed properties:
E_form (uncorrected) = 4.9 eV per formula unit
calculated density = 8.227 g/cm³

abc: 5.1603 5.1603 5.1603
angles: 90.00 90.00 90.00
Space group Pm-3m (No. 221)
Symmetry-distinct sites (fractional):
Te: 0.0000 0.0000 0.5000 (multiplicity 3)
Pt: 0.0000 0.0000 0.0000 (multiplicity 1)
Rh: 0.5000 0.5000 0.5000 (multiplicity 1)

Computed values of N(E_F) (unit: states/eV/f.u.) for the preceding records, in sequence: 7.336, 3.317, 6.931.